Entry 1:
Computed, not measured: a relaxed structure of NpBr3F at the PBE-GGA level of DFT.

- ΔE_f (raw) (meV/atom) = -1716
- energy relative to the lowest polymorph listed for this composition (eV per atom) = 0.013

a = 7.028 Å, b = 7.028 Å, c = 7.835 Å
α = 120.70°, β = 120.70°, γ = 77.76°
Sites, in units of the cell vectors:
Np 0.123 0.123 0.390
Np 0.877 0.877 0.610
Br 0.190 0.190 0.102
Br 0.251 0.624 0.695
Br 0.376 0.749 0.305
Br 0.624 0.251 0.695
Br 0.749 0.376 0.305
Br 0.810 0.810 0.898
F 0.137 0.137 0.679
F 0.863 0.863 0.321

=====

Entry 2:
Computed, not measured: a relaxed structure of NpBrF2 at the PBE-GGA level of DFT.

- ΔE_f (raw) (meV/atom) = -2660
- energy relative to the lowest polymorph listed for this composition (eV per atom) = 0.082

a = 5.717 Å, b = 5.717 Å, c = 5.717 Å
α = 41.96°, β = 41.96°, γ = 41.96°
Sites, in units of the cell vectors:
Np 0.000 0.000 0.000
Br 0.500 0.500 0.500
F 0.301 0.301 0.301
F 0.699 0.699 0.699

=====

Entry 3:
Computed, not measured: a relaxed structure of Np2BrF6 at the PBE-GGA level of DFT.

- ΔE_f (raw) (meV/atom) = -3127

a = 6.406 Å, b = 6.406 Å, c = 4.110 Å
α = 108.21°, β = 108.21°, γ = 71.25°
Sites, in units of the cell vectors:
Np 0.204 0.204 0.206
Np 0.796 0.796 0.794
Br 0.500 0.500 0.500
F 0.053 0.382 0.718
F 0.161 0.839 0.000
F 0.382 0.053 0.718
F 0.618 0.947 0.282
F 0.839 0.161 0.000
F 0.947 0.618 0.282

=====

Entry 4:
Computed, not measured: a relaxed structure of NpBrF2 at the PBE-GGA level of DFT.

- ΔE_f (raw) (meV/atom) = -2742
- energy relative to the lowest polymorph listed for this composition (eV per atom) = 0.000

a = 5.798 Å, b = 5.798 Å, c = 7.212 Å
α = 90.00°, β = 90.00°, γ = 139.66°
Sites, in units of the cell vectors:
Np 0.227 0.773 0.750
Np 0.773 0.227 0.250
Br 0.052 0.948 0.250
Br 0.948 0.052 0.750
F 0.314 0.686 0.067
F 0.314 0.686 0.433
F 0.686 0.314 0.567
F 0.686 0.314 0.933

=====

Entry 5:
Computed, not measured: a relaxed structure of NpBrF at the PBE-GGA level of DFT.

- ΔE_f (raw) (meV/atom) = -1844

a = 3.716 Å, b = 5.925 Å, c = 7.293 Å
α = 90.00°, β = 104.80°, γ = 90.00°
Sites, in units of the cell vectors:
Np 0.189 0.250 0.379
Np 0.811 0.750 0.621
Br 0.141 0.750 0.282
Br 0.859 0.250 0.718
F 0.406 0.750 0.812
F 0.594 0.250 0.188

=====

Entry 6:
Computed, not measured: a relaxed structure of NpBr2F2 at the PBE-GGA level of DFT.

- ΔE_f (raw) (meV/atom) = -2256

a = 7.847 Å, b = 7.847 Å, c = 6.448 Å
α = 105.91°, β = 105.91°, γ = 61.44°
Sites, in units of the cell vectors:
Np 0.117 0.883 0.750
Np 0.883 0.117 0.250
Br 0.206 0.526 0.812
Br 0.474 0.794 0.688
Br 0.526 0.206 0.312
Br 0.794 0.474 0.188
F 0.005 0.835 0.384
F 0.165 0.995 0.116
F 0.835 0.005 0.884
F 0.995 0.165 0.616

=====

Q: Among the records above, which one has the lowest ΔE_f (raw)?
A: Np2BrF6